(1)
## Co2Au (GGA-PBEsol)

Data for a relaxed structure of Co2Au.

abc: 5.679 5.679 5.220
angles: 90.00 90.00 90.00
Space group I4/mcm (No. 140)
Asymmetric unit:
Co 0.131 0.369 0.000 (multiplicity 8)
Au 0.000 0.000 0.250 (multiplicity 4)

- Calculated volume: 14.03 Å³/atom
- Formation energy: 596 meV/atom
- Mass density: 12.4 g cm⁻³
- Uncorrected energy: -5.871 eV/atom

(2)
## CoAu3 (GGA-PBEsol)

Data for a relaxed structure of CoAu3.

abc: 2.812 2.812 7.782
angles: 90.00 90.00 90.00
Space group P4/mmm (No. 123)
Asymmetric unit:
Co 0.000 0.000 0.000 (multiplicity 1)
Au 0.000 0.000 0.500 (multiplicity 1)
Au 0.500 0.500 0.225 (multiplicity 2)

- Calculated volume: 15.38 Å³/atom
- Formation energy: 142 meV/atom
- Mass density: 17.5 g cm⁻³
- Uncorrected energy: -4.735 eV/atom

(3)
## Co2Au (GGA-PBEsol)

Data for a relaxed structure of Co2Au.

abc: 5.713 5.713 5.713
angles: 90.00 90.00 90.00
Space group Fm-3m (No. 225)
Asymmetric unit:
Co 0.250 0.250 0.250 (multiplicity 8)
Au 0.000 0.000 0.000 (multiplicity 4)

- Calculated volume: 15.54 Å³/atom
- Formation energy: 868 meV/atom
- Mass density: 11.2 g cm⁻³
- Uncorrected energy: -5.599 eV/atom

(4)
## CoAu (GGA-PBEsol)

Data for a relaxed structure of CoAu.

abc: 2.745 2.745 7.318
angles: 90.00 90.00 90.00
Space group P4/nmm (No. 129, origin choice 2)
Asymmetric unit:
Co 0.250 0.250 0.091 (multiplicity 2)
Au 0.250 0.250 0.651 (multiplicity 2)

- Calculated volume: 13.79 Å³/atom
- Formation energy: 136 meV/atom
- Mass density: 15.4 g cm⁻³
- Uncorrected energy: -5.694 eV/atom